The following is a DFT calculation (PBE) of crystalline Ba2SnH2 at its relaxed geometry.

The value obtained for the uncorrected energy is -3.39 eV/atom. The density comes out at 5.337 g cm⁻³. The calculation puts the total magnetization at 0.0 μB per formula unit. The polymorph energy (0 for the lowest one) comes out at 19 meV per atom.

It has space group I4/mmm (No. 139), with a = 3.713 Å, b = 3.713 Å, c = 17.842 Å, α = 90.00°, β = 90.00° and γ = 90.00°. The distinct sites, in fractional coordinates, are Ba at (0.000, 0.000, 0.147), Sn at (0.000, 0.000, 0.500) and H at (0.000, 0.000, 0.299).

=====

The following is a DFT calculation (PBE) of crystalline Ho2Th15Sc2 at its relaxed geometry.

The value obtained for the energy of formation from the pure elements is 5.76 eV/f.u. The value obtained for the uncorrected energy is -6.70 eV/atom. The density comes out at 10.181 g cm⁻³. The calculation puts the total magnetization at 0.0 μB per formula unit.

It has space group R-3m (No. 166, hexagonal axes), with a = 11.2860 Å, b = 11.2860 Å, c = 17.3004 Å, α = 90.00°, β = 90.00° and γ = 120.00°. The distinct sites, in fractional coordinates, are Ho at (0.0000, 0.0000, 0.1934), Th at (0.0000, 0.2959, 0.5000), Th at (0.0000, 0.5000, 0.0000), Th at (0.0086, 0.5043, 0.6446) and Sc at (0.0000, 0.0000, 0.4059).

=====

The following is a DFT calculation (PBE) of crystalline NbPbSe2Br at its relaxed geometry.

The value obtained for the uncorrected energy is -4.77 eV/atom. The density comes out at 6.591 g cm⁻³. The calculation puts the total magnetization at 0.0 μB per formula unit. The polymorph energy (0 for the lowest one) comes out at 0 meV per atom. The uncorrected formation energy is -0.2831 eV/atom.

It has space group P4/mmm (No. 123), with a = 5.121 Å, b = 5.121 Å, c = 5.169 Å, α = 90.00°, β = 90.00° and γ = 90.00°. The distinct sites, in fractional coordinates, are Nb at (0.000, 0.000, 0.000), Pb at (0.500, 0.500, 0.500), Se at (0.000, 0.500, 0.000) and Br at (0.000, 0.000, 0.500).

=====

The following is a DFT calculation (PBE) of crystalline Zr2VPd9 at its relaxed geometry.

The value obtained for the energy of formation from the pure elements is -7.28 eV/f.u. The value obtained for the uncorrected energy is -6.69 eV/atom. The density comes out at 10.333 g cm⁻³. The calculation puts the total magnetization at 1.8 μB per formula unit.

It has space group P4/mmm (No. 123), with a = 3.999 Å, b = 3.999 Å, c = 11.970 Å, α = 90.00°, β = 90.00° and γ = 90.00°. The distinct sites, in fractional coordinates, are Zr at (0.000, 0.000, 0.172), V at (0.000, 0.000, 0.500), Pd at (0.000, 0.500, 0.000), Pd at (0.000, 0.500, 0.338), Pd at (0.500, 0.500, 0.169) and Pd at (0.500, 0.500, 0.500).